# CoCuAu2 PBEsol relaxed
data_CoCuAu2
_space_group_name_H-M_alt 'R -3 m'
_space_group_IT_number 166
_space_group_name_Hall '-R 3 2"'
_cell_length_a 2.7781
_cell_length_b 2.7781
_cell_length_c 25.5659
_cell_angle_alpha 90.00
_cell_angle_beta 90.00
_cell_angle_gamma 120.00
loop_
_atom_site_label
_atom_site_fract_x
_atom_site_fract_y
_atom_site_fract_z
_atom_site_occupancy
Co1 0.0000 0.0000 0.0000 1
Cu1 0.0000 0.0000 0.5000 1
Au1 0.0000 0.0000 0.2504 1
# Calculated formation energy (eV per atom): 0.184
# Total energy (eV/atom): -4.80
# N(E_F) (states/eV/cell): 9.8


# YMgSi PBEsol relaxed
data_YMgSi
_space_group_name_H-M_alt 'F m m 2'
_space_group_IT_number 42
_space_group_name_Hall 'F 2 -2'
_cell_length_a 4.665
_cell_length_b 4.675
_cell_length_c 11.858
_cell_angle_alpha 90.00
_cell_angle_beta 90.00
_cell_angle_gamma 90.00
loop_
_atom_site_label
_atom_site_fract_x
_atom_site_fract_y
_atom_site_fract_z
_atom_site_occupancy
Y1 0.000 0.000 0.000 1
Mg1 0.000 0.000 0.290 1
Si1 0.000 0.000 0.656 1
# Formation energy from raw total energies (eV/atom): -0.2311
# Total energy (eV/atom): -4.99
# N(E_F) (states/eV/cell): 7.3


# KW2 PBEsol relaxed
data_KW2
_space_group_name_H-M_alt 'P 4/m m m'
_space_group_IT_number 123
_space_group_name_Hall '-P 4 2'
_cell_length_a 5.694
_cell_length_b 5.694
_cell_length_c 2.454
_cell_angle_alpha 90.00
_cell_angle_beta 90.00
_cell_angle_gamma 90.00
loop_
_atom_site_label
_atom_site_fract_x
_atom_site_fract_y
_atom_site_fract_z
_atom_site_occupancy
K1 0.000 0.000 0.000 1
W1 0.000 0.500 0.500 1
# Calculated formation energy (eV per atom): 3.670
# Total energy (eV/atom): -5.91
# N(E_F) (states/eV/cell): 5.5


# SbPb2Au PBEsol relaxed
data_SbPb2Au
_space_group_name_H-M_alt 'A m m 2'
_space_group_IT_number 38
_cell_length_a 4.217
_cell_length_b 4.342
_cell_length_c 11.656
_cell_angle_alpha 90.00
_cell_angle_beta 90.00
_cell_angle_gamma 90.00
loop_
_space_group_symop_operation_xyz
'x,y,z'
'-x,-y,z'
'-x,y,z'
'x,-y,z'
'x,y+1/2,z+1/2'
'-x,-y+1/2,z+1/2'
'-x,y+1/2,z+1/2'
'x,-y+1/2,z+1/2'
loop_
_atom_site_label
_atom_site_fract_x
_atom_site_fract_y
_atom_site_fract_z
_atom_site_occupancy
Sb1 0.000 0.000 0.000 1
Pb1 0.000 0.000 0.279 1
Pb2 0.500 0.000 0.588 1
Au1 0.500 0.000 0.836 1
# Formation energy from raw total energies (eV/atom): -0.0288
# Total energy (eV/atom): -4.15
# N(E_F) (states/eV/cell): 3.5


# ZrBeSiAg2 PBEsol relaxed
data_ZrBeSiAg2
_space_group_name_H-M_alt 'P 4/m m m'
_space_group_IT_number 123
_space_group_name_Hall '-P 4 2'
_cell_length_a 4.215
_cell_length_b 4.215
_cell_length_c 4.785
_cell_angle_alpha 90.00
_cell_angle_beta 90.00
_cell_angle_gamma 90.00
loop_
_atom_site_label
_atom_site_fract_x
_atom_site_fract_y
_atom_site_fract_z
_atom_site_occupancy
Zr1 0.000 0.000 0.000 1
Be1 0.000 0.000 0.500 1
Si1 0.500 0.500 0.000 1
Ag1 0.000 0.500 0.500 1
# Formation energy from raw total energies (eV/atom): 0.2905
# Total energy (eV/atom): -4.80
# N(E_F) (states/eV/cell): 2.3


# SiGeMoSe2 PBEsol relaxed
data_SiGeMoSe2
_space_group_name_H-M_alt 'P 4/m m m'
_space_group_IT_number 123
_space_group_name_Hall '-P 4 2'
_cell_length_a 4.907
_cell_length_b 4.907
_cell_length_c 4.546
_cell_angle_alpha 90.00
_cell_angle_beta 90.00
_cell_angle_gamma 90.00
loop_
_atom_site_label
_atom_site_fract_x
_atom_site_fract_y
_atom_site_fract_z
_atom_site_occupancy
Si1 0.000 0.000 0.000 1
Ge1 0.000 0.000 0.500 1
Mo1 0.500 0.500 0.000 1
Se1 0.000 0.500 0.500 1
# Formation energy from raw total energies (eV/atom): 1.1560
# Total energy (eV/atom): -4.87
# N(E_F) (states/eV/cell): 3.1